[1]
A relaxed TaMn4Rh crystal, computed with GGA-PBEsol.

Values from the calculation:
**Formation enthalpy at 0 K**: -0.8 eV/f.u.
**Magnetization**: 0.00 μB/f.u.

```
data_TaMn4Rh
_chemical_formula_sum 'Ta1 Mn4 Rh1'
_space_group_name_H-M_alt 'P 1'
_space_group_IT_number 1
_cell_length_a 4.669
_cell_length_b 4.669
_cell_length_c 4.669
_cell_angle_alpha 60.00
_cell_angle_beta 60.00
_cell_angle_gamma 60.00
loop_
_space_group_symop_operation_xyz
'x,y,z'
loop_
_atom_site_label
_atom_site_type_symbol
_atom_site_fract_x
_atom_site_fract_y
_atom_site_fract_z
Mn1 Mn 0.377 0.377 0.869
Mn2 Mn 0.377 0.869 0.377
Mn3 Mn 0.377 0.377 0.377
Mn4 Mn 0.869 0.377 0.377
Ta1 Ta 0.000 0.000 0.000
Rh1 Rh 0.750 0.750 0.750
```

=====

[2]
A relaxed Ta2MnRh crystal, computed with GGA-PBEsol.

Values from the calculation:
**Formation enthalpy at 0 K**: -1.1 eV/f.u.
**Magnetization**: 0.00 μB/f.u.

```
data_Ta2MnRh
_chemical_formula_sum 'Ta2 Mn1 Rh1'
_space_group_name_H-M_alt 'P 1'
_space_group_IT_number 1
_cell_length_a 2.954
_cell_length_b 2.954
_cell_length_c 6.737
_cell_angle_alpha 90.00
_cell_angle_beta 90.00
_cell_angle_gamma 90.00
loop_
_space_group_symop_operation_xyz
'x,y,z'
loop_
_atom_site_label
_atom_site_type_symbol
_atom_site_fract_x
_atom_site_fract_y
_atom_site_fract_z
Mn1 Mn 0.500 0.500 0.000
Ta1 Ta 0.000 0.000 0.229
Ta2 Ta 0.000 0.000 0.771
Rh1 Rh 0.500 0.500 0.500
```

=====

[3]
A relaxed Ta2MnRh crystal, computed with GGA-PBEsol.

Values from the calculation:
**Formation enthalpy at 0 K**: -0.8 eV/f.u.
**Magnetization**: 0.21 μB/f.u.

```
data_Ta2MnRh
_chemical_formula_sum 'Ta2 Mn1 Rh1'
_space_group_name_H-M_alt 'P 1'
_space_group_IT_number 1
_cell_length_a 3.312
_cell_length_b 4.228
_cell_length_c 4.228
_cell_angle_alpha 90.02
_cell_angle_beta 90.00
_cell_angle_gamma 90.00
loop_
_space_group_symop_operation_xyz
'x,y,z'
loop_
_atom_site_label
_atom_site_type_symbol
_atom_site_fract_x
_atom_site_fract_y
_atom_site_fract_z
Rh1 Rh 0.500 0.500 0.500
Mn1 Mn 0.500 0.000 0.000
Ta1 Ta 0.000 0.500 0.000
Ta2 Ta 0.000 0.000 0.500
```

=====

[4]
A relaxed Ta2MnRh crystal, computed with GGA-PBEsol.

Values from the calculation:
**Formation enthalpy at 0 K**: 0.5 eV/f.u.
**Magnetization**: 3.08 μB/f.u.

```
data_Ta2MnRh
_chemical_formula_sum 'Ta2 Mn1 Rh1'
_space_group_name_H-M_alt 'P 1'
_space_group_IT_number 1
_cell_length_a 2.844
_cell_length_b 2.844
_cell_length_c 9.068
_cell_angle_alpha 80.98
_cell_angle_beta 80.98
_cell_angle_gamma 60.00
loop_
_space_group_symop_operation_xyz
'x,y,z'
loop_
_atom_site_label
_atom_site_type_symbol
_atom_site_fract_x
_atom_site_fract_y
_atom_site_fract_z
Ta1 Ta 0.756 0.756 0.733
Ta2 Ta 0.995 0.995 0.016
Rh1 Rh 0.247 0.247 0.259
Mn1 Mn 0.503 0.503 0.491
```

=====

Number 1: DOS(E_F) 2.71 states/eV per cell, ρ 11616 kg/m3, DFT total energy -10.097 eV per atom. Number 2: DOS(E_F) 3.87 states/eV per cell, ρ 14677 kg/m3, DFT total energy -11.022 eV per atom. Number 3: DOS(E_F) 4.01 states/eV per cell, ρ 14575 kg/m3, DFT total energy -10.952 eV per atom. Number 4: DOS(E_F) 4.10 states/eV per cell, ρ 13813 kg/m3, DFT total energy -10.630 eV per atom.